Record 1
{"formula": "Li4SnP6O18", "functional": "meta-GGA SCAN", "state": "PBEsol geometry", "lattice_angstrom": [[5.9591, -4.2010, 0.0000], [5.9591, 4.2010, 0.0000], [-0.9026, 0.0000, 14.3726]], "species": ["Li", "Li", "Li", "Li", "Li", "Li", "Li", "Li", "Sn", "Sn", "P", "P", "P", "P", "P", "P", "P", "P", "P", "P", "P", "P", "O", "O", "O", "O", "O", "O", "O", "O", "O", "O", "O", "O", "O", "O", "O", "O", "O", "O", "O", "O", "O", "O", "O", "O", "O", "O", "O", "O", "O", "O", "O", "O", "O", "O", "O", "O"], "fractional_positions": [[0.0090, 0.3228, 0.4400], [0.3228, 0.0090, 0.9400], [0.3260, 0.3277, 0.5673], [0.3277, 0.3260, 0.0673], [0.6723, 0.6740, 0.9327], [0.6740, 0.6723, 0.4327], [0.6772, 0.9910, 0.0600], [0.9910, 0.6772, 0.5600], [0.3270, 0.6730, 0.7500], [0.6730, 0.3270, 0.2500], [0.0436, 0.4064, 0.7365], [0.0786, 0.0797, 0.1148], [0.0797, 0.0786, 0.6148], [0.2661, 0.5928, 0.3924], [0.4064, 0.0436, 0.2365], [0.4072, 0.7339, 0.1076], [0.5928, 0.2661, 0.8924], [0.5936, 0.9564, 0.7635], [0.7339, 0.4072, 0.6076], [0.9203, 0.9214, 0.3852], [0.9214, 0.9203, 0.8852], [0.9564, 0.5936, 0.2635], [0.0754, 0.4535, 0.8355], [0.1161, 0.1719, 0.7159], [0.1232, 0.8646, 0.6268], [0.1333, 0.4918, 0.6639], [0.1354, 0.8768, 0.8732], [0.1507, 0.1721, 0.0408], [0.1554, 0.8253, 0.3979], [0.1719, 0.1161, 0.2159], [0.1721, 0.1507, 0.5408], [0.1747, 0.8446, 0.1021], [0.1875, 0.5351, 0.2913], [0.1930, 0.4988, 0.4665], [0.4423, 0.5214, 0.1139], [0.4535, 0.0754, 0.3355], [0.4649, 0.8125, 0.2087], [0.4786, 0.5577, 0.3861], [0.4918, 0.1333, 0.1639], [0.4988, 0.1930, 0.9665], [0.5012, 0.8070, 0.0335], [0.5082, 0.8667, 0.8361], [0.5214, 0.4423, 0.6139], [0.5351, 0.1875, 0.7913], [0.5465, 0.9246, 0.6645], [0.5577, 0.4786, 0.8861], [0.8070, 0.5012, 0.5335], [0.8125, 0.4649, 0.7087], [0.8253, 0.1554, 0.8979], [0.8279, 0.8493, 0.4592], [0.8281, 0.8839, 0.7841], [0.8446, 0.1747, 0.6021], [0.8493, 0.8279, 0.9592], [0.8646, 0.1232, 0.1268], [0.8667, 0.5082, 0.3361], [0.8768, 0.1354, 0.3732], [0.8839, 0.8281, 0.2841], [0.9246, 0.5465, 0.1645]], "e_form_raw_mev_per_atom": -2373.4, "dos_at_fermi_per_ev_atom": 0.000, "space_group": "C2/c", "e_above_lowest_polymorph_ev_per_atom": 0.0123}

***

Record 2
{"formula": "Li3Sn2P3O12", "functional": "meta-GGA SCAN", "state": "PBEsol geometry", "lattice_angstrom": [[4.1934, 2.4211, 9.3085], [-4.1934, 2.4211, 9.3085], [0.0000, -4.8422, 9.3085]], "species": ["Li", "Li", "Li", "Li", "Li", "Li", "Sn", "Sn", "Sn", "Sn", "P", "P", "P", "P", "P", "P", "O", "O", "O", "O", "O", "O", "O", "O", "O", "O", "O", "O", "O", "O", "O", "O", "O", "O", "O", "O", "O", "O", "O", "O"], "fractional_positions": [[0.0769, 0.7747, 0.3710], [0.2253, 0.6290, 0.9231], [0.3710, 0.0769, 0.7747], [0.6290, 0.9231, 0.2253], [0.7747, 0.3710, 0.0769], [0.9231, 0.2253, 0.6290], [0.1725, 0.1725, 0.1725], [0.3347, 0.3347, 0.3347], [0.6653, 0.6653, 0.6653], [0.8275, 0.8275, 0.8275], [0.0528, 0.4699, 0.6985], [0.3015, 0.9472, 0.5301], [0.4699, 0.6985, 0.0528], [0.5301, 0.3015, 0.9472], [0.6985, 0.0528, 0.4699], [0.9472, 0.5301, 0.3015], [0.0230, 0.6558, 0.6641], [0.1474, 0.5285, 0.2048], [0.1522, 0.4925, 0.4903], [0.1560, 0.2893, 0.8247], [0.1753, 0.8440, 0.7107], [0.2048, 0.1474, 0.5285], [0.2893, 0.8247, 0.1560], [0.3359, 0.9770, 0.3442], [0.3442, 0.3359, 0.9770], [0.4715, 0.7952, 0.8526], [0.4903, 0.1522, 0.4925], [0.4925, 0.4903, 0.1522], [0.5075, 0.5097, 0.8478], [0.5097, 0.8478, 0.5075], [0.5285, 0.2048, 0.1474], [0.6558, 0.6641, 0.0230], [0.6641, 0.0230, 0.6558], [0.7107, 0.1753, 0.8440], [0.7952, 0.8526, 0.4715], [0.8247, 0.1560, 0.2893], [0.8440, 0.7107, 0.1753], [0.8478, 0.5075, 0.5097], [0.8526, 0.4715, 0.7952], [0.9770, 0.3442, 0.3359]], "e_form_raw_mev_per_atom": -2295.6, "dos_at_fermi_per_ev_atom": 0.000, "space_group": "R-3", "e_above_lowest_polymorph_ev_per_atom": 0.0106}

***

Record 3
{"formula": "Li3Sn2P3O12", "functional": "meta-GGA SCAN", "state": "PBEsol geometry", "lattice_angstrom": [[8.6110, 0.0000, 0.0000], [0.0000, 8.7992, 0.0000], [-8.1419, 0.0000, 12.9414]], "species": ["Li", "Li", "Li", "Li", "Li", "Li", "Li", "Li", "Li", "Li", "Li", "Li", "Sn", "Sn", "Sn", "Sn", "Sn", "Sn", "Sn", "Sn", "P", "P", "P", "P", "P", "P", "P", "P", "P", "P", "P", "P", "O", "O", "O", "O", "O", "O", "O", "O", "O", "O", "O", "O", "O", "O", "O", "O", "O", "O", "O", "O", "O", "O", "O", "O", "O", "O", "O", "O", "O", "O", "O", "O", "O", "O", "O", "O", "O", "O", "O", "O", "O", "O", "O", "O", "O", "O", "O", "O"], "fractional_positions": [[0.0206, 0.2252, 0.3367], [0.0206, 0.2748, 0.8367], [0.3967, 0.6104, 0.3122], [0.3967, 0.8896, 0.8122], [0.3994, 0.2258, 0.2517], [0.3994, 0.2742, 0.7517], [0.6006, 0.7258, 0.2483], [0.6006, 0.7742, 0.7483], [0.6033, 0.1104, 0.1878], [0.6033, 0.3896, 0.6878], [0.9794, 0.7252, 0.1633], [0.9794, 0.7748, 0.6633], [0.1525, 0.5566, 0.4033], [0.1525, 0.9434, 0.9033], [0.2962, 0.5329, 0.0712], [0.2962, 0.9671, 0.5712], [0.7038, 0.0329, 0.4288], [0.7038, 0.4671, 0.9288], [0.8475, 0.0566, 0.0967], [0.8475, 0.4434, 0.5967], [0.0599, 0.0998, 0.6728], [0.0599, 0.4002, 0.1728], [0.2564, 0.5911, 0.6496], [0.2564, 0.9089, 0.1496], [0.4349, 0.2413, 0.9829], [0.4349, 0.2587, 0.4829], [0.5651, 0.7413, 0.5171], [0.5651, 0.7587, 0.0171], [0.7436, 0.0911, 0.8504], [0.7436, 0.4089, 0.3504], [0.9401, 0.5998, 0.8272], [0.9401, 0.9002, 0.3272], [0.0352, 0.7430, 0.8139], [0.0352, 0.7570, 0.3139], [0.0791, 0.0171, 0.4048], [0.0791, 0.4829, 0.9048], [0.0920, 0.5535, 0.6636], [0.0920, 0.9465, 0.1636], [0.1661, 0.0083, 0.7761], [0.1661, 0.4917, 0.2761], [0.1663, 0.6320, 0.5315], [0.1663, 0.8680, 0.0315], [0.1982, 0.1539, 0.6458], [0.1982, 0.3461, 0.1458], [0.2483, 0.1625, 0.9514], [0.2483, 0.3375, 0.4514], [0.3424, 0.7349, 0.7129], [0.3424, 0.7651, 0.2129], [0.3914, 0.0395, 0.1833], [0.3914, 0.4605, 0.6833], [0.4072, 0.6287, 0.4434], [0.4072, 0.8713, 0.9434], [0.4405, 0.2172, 0.3885], [0.4405, 0.2828, 0.8885], [0.4599, 0.1243, 0.5527], [0.4599, 0.3757, 0.0527], [0.5401, 0.6243, 0.9473], [0.5401, 0.8757, 0.4473], [0.5595, 0.7172, 0.1115], [0.5595, 0.7828, 0.6115], [0.5928, 0.1287, 0.0566], [0.5928, 0.3713, 0.5566], [0.6086, 0.5395, 0.3167], [0.6086, 0.9605, 0.8167], [0.6576, 0.2349, 0.7871], [0.6576, 0.2651, 0.2871], [0.7517, 0.6625, 0.5486], [0.7517, 0.8375, 0.0486], [0.8018, 0.6539, 0.8542], [0.8018, 0.8461, 0.3542], [0.8337, 0.1320, 0.9685], [0.8337, 0.3680, 0.4685], [0.8339, 0.5083, 0.7239], [0.8339, 0.9917, 0.2239], [0.9080, 0.0535, 0.8364], [0.9080, 0.4465, 0.3364], [0.9209, 0.5171, 0.0952], [0.9209, 0.9829, 0.5952], [0.9648, 0.2430, 0.6861], [0.9648, 0.2570, 0.1861]], "e_form_raw_mev_per_atom": -2306.2, "dos_at_fermi_per_ev_atom": 0.000, "space_group": "P2_1/c", "e_above_lowest_polymorph_ev_per_atom": 0.0000}

***

Record 4
{"formula": "LiSnPO4", "functional": "meta-GGA SCAN", "state": "PBEsol geometry", "lattice_angstrom": [[7.7939, 0.0000, 0.0000], [-3.8970, 6.7498, 0.0000], [0.0000, 0.0000, 10.1490]], "species": ["Li", "Li", "Li", "Li", "Li", "Li", "Sn", "Sn", "Sn", "Sn", "Sn", "Sn", "P", "P", "P", "P", "P", "P", "O", "O", "O", "O", "O", "O", "O", "O", "O", "O", "O", "O", "O", "O", "O", "O", "O", "O", "O", "O", "O", "O", "O", "O"], "fractional_positions": [[0.0210, 0.2313, 0.0000], [0.2103, 0.9790, 0.0000], [0.2313, 0.0210, 0.5000], [0.7687, 0.7897, 0.0000], [0.7897, 0.7687, 0.5000], [0.9790, 0.2103, 0.5000], [0.0077, 0.5713, 0.7794], [0.4287, 0.4364, 0.7794], [0.4364, 0.4287, 0.2794], [0.5636, 0.9923, 0.7794], [0.5713, 0.0077, 0.2794], [0.9923, 0.5636, 0.2794], [0.0000, 0.0000, 0.2512], [0.0000, 0.0000, 0.7512], [0.3333, 0.6667, 0.0581], [0.3333, 0.6667, 0.5006], [0.6667, 0.3333, 0.0006], [0.6667, 0.3333, 0.5581], [0.0000, 0.0000, 0.0994], [0.0000, 0.0000, 0.5994], [0.1022, 0.8877, 0.8082], [0.1123, 0.2145, 0.8082], [0.2145, 0.1123, 0.3082], [0.2223, 0.7733, 0.1085], [0.2233, 0.7734, 0.4484], [0.2267, 0.4489, 0.1085], [0.2266, 0.4499, 0.4484], [0.3333, 0.6667, 0.6528], [0.3333, 0.6667, 0.9056], [0.4489, 0.2267, 0.6085], [0.4499, 0.2266, 0.9484], [0.5501, 0.7767, 0.4484], [0.5511, 0.7777, 0.1085], [0.6667, 0.3333, 0.1528], [0.6667, 0.3333, 0.4056], [0.7733, 0.2223, 0.6085], [0.7734, 0.2233, 0.9484], [0.7767, 0.5501, 0.9484], [0.7777, 0.5511, 0.6085], [0.7855, 0.8978, 0.8082], [0.8877, 0.1022, 0.3082], [0.8978, 0.7855, 0.3082]], "e_form_raw_mev_per_atom": -2205.1, "dos_at_fermi_per_ev_atom": 0.000, "space_group": "P31c"}

***

Record 5
{"formula": "Li9Sn3P8O29", "functional": "meta-GGA SCAN", "state": "PBEsol geometry", "lattice_angstrom": [[10.0104, 0.0000, 0.0000], [-5.0052, 8.6693, 0.0000], [0.0000, 0.0000, 13.8921]], "species": ["Li", "Li", "Li", "Li", "Li", "Li", "Li", "Li", "Li", "Li", "Li", "Li", "Li", "Li", "Li", "Li", "Li", "Li", "Sn", "Sn", "Sn", "Sn", "Sn", "Sn", "P", "P", "P", "P", "P", "P", "P", "P", "P", "P", "P", "P", "P", "P", "P", "P", "O", "O", "O", "O", "O", "O", "O", "O", "O", "O", "O", "O", "O", "O", "O", "O", "O", "O", "O", "O", "O", "O", "O", "O", "O", "O", "O", "O", "O", "O", "O", "O", "O", "O", "O", "O", "O", "O", "O", "O", "O", "O", "O", "O", "O", "O", "O", "O", "O", "O", "O", "O", "O", "O", "O", "O", "O", "O"], "fractional_positions": [[0.0000, 0.0000, 0.0000], [0.0000, 0.0000, 0.5000], [0.1043, 0.3301, 0.0618], [0.1043, 0.7742, 0.5618], [0.2258, 0.3301, 0.5618], [0.2258, 0.8957, 0.0618], [0.3301, 0.1043, 0.4382], [0.3301, 0.2258, 0.9382], [0.3333, 0.6667, 0.3822], [0.3333, 0.6667, 0.8822], [0.6667, 0.3333, 0.1178], [0.6667, 0.3333, 0.6178], [0.6699, 0.7742, 0.0618], [0.6699, 0.8957, 0.5618], [0.7742, 0.1043, 0.9382], [0.7742, 0.6699, 0.4382], [0.8957, 0.2258, 0.4382], [0.8957, 0.6699, 0.9382], [0.0000, 0.4373, 0.2500], [0.0000, 0.5627, 0.7500], [0.4373, 0.0000, 0.2500], [0.4373, 0.4373, 0.7500], [0.5627, 0.0000, 0.7500], [0.5627, 0.5627, 0.2500], [0.0899, 0.3094, 0.8472], [0.0899, 0.7805, 0.3472], [0.2195, 0.3094, 0.3472], [0.2195, 0.9101, 0.8472], [0.3094, 0.0899, 0.6528], [0.3094, 0.2195, 0.1528], [0.3333, 0.6667, 0.1182], [0.3333, 0.6667, 0.6182], [0.6667, 0.3333, 0.3818], [0.6667, 0.3333, 0.8818], [0.6906, 0.7805, 0.8472], [0.6906, 0.9101, 0.3472], [0.7805, 0.0899, 0.1528], [0.7805, 0.6906, 0.6528], [0.9101, 0.2195, 0.6528], [0.9101, 0.6906, 0.1528], [0.0000, 0.2244, 0.7500], [0.0000, 0.7756, 0.2500], [0.0053, 0.2216, 0.5671], [0.0053, 0.7837, 0.0671], [0.0648, 0.3070, 0.3460], [0.0648, 0.7578, 0.8460], [0.1248, 0.4774, 0.8458], [0.1248, 0.6473, 0.3458], [0.2049, 0.5060, 0.1568], [0.2049, 0.6989, 0.6568], [0.2163, 0.2216, 0.0671], [0.2163, 0.9947, 0.5671], [0.2216, 0.0053, 0.9329], [0.2216, 0.2163, 0.4329], [0.2244, 0.0000, 0.7500], [0.2244, 0.2244, 0.2500], [0.2422, 0.3070, 0.8460], [0.2422, 0.9352, 0.3460], [0.3011, 0.5060, 0.6568], [0.3011, 0.7951, 0.1568], [0.3070, 0.0648, 0.1540], [0.3070, 0.2422, 0.6540], [0.3333, 0.6667, 0.0101], [0.3333, 0.6667, 0.5101], [0.3527, 0.4774, 0.3458], [0.3527, 0.8752, 0.8458], [0.4774, 0.1248, 0.6542], [0.4774, 0.3527, 0.1542], [0.4940, 0.6989, 0.1568], [0.4940, 0.7951, 0.6568], [0.5060, 0.2049, 0.3432], [0.5060, 0.3011, 0.8432], [0.5226, 0.6473, 0.8458], [0.5226, 0.8752, 0.3458], [0.6473, 0.1248, 0.1542], [0.6473, 0.5226, 0.6542], [0.6667, 0.3333, 0.4899], [0.6667, 0.3333, 0.9899], [0.6930, 0.7578, 0.3460], [0.6930, 0.9352, 0.8460], [0.6989, 0.2049, 0.8432], [0.6989, 0.4940, 0.3432], [0.7578, 0.0648, 0.6540], [0.7578, 0.6930, 0.1540], [0.7756, 0.0000, 0.2500], [0.7756, 0.7756, 0.7500], [0.7784, 0.7837, 0.5671], [0.7784, 0.9947, 0.0671], [0.7837, 0.0053, 0.4329], [0.7837, 0.7784, 0.9329], [0.7951, 0.3011, 0.3432], [0.7951, 0.4940, 0.8432], [0.8752, 0.3527, 0.6542], [0.8752, 0.5226, 0.1542], [0.9352, 0.2422, 0.1540], [0.9352, 0.6930, 0.6540], [0.9947, 0.2163, 0.9329], [0.9947, 0.7784, 0.4329]], "e_form_raw_mev_per_atom": -2338.1, "dos_at_fermi_per_ev_atom": 0.014, "space_group": "P-3c1"}

***

Record 6
{"formula": "Li2Ti3SnP6O24", "functional": "meta-GGA SCAN", "state": "PBEsol geometry", "lattice_angstrom": [[4.2931, 2.4786, 6.9785], [-4.2931, 2.4786, 6.9785], [0.0000, -4.9573, 6.9785]], "species": ["Li", "Li", "Ti", "Ti", "Ti", "Sn", "P", "P", "P", "P", "P", "P", "O", "O", "O", "O", "O", "O", "O", "O", "O", "O", "O", "O", "O", "O", "O", "O", "O", "O", "O", "O", "O", "O", "O", "O"], "fractional_positions": [[0.0000, 0.0000, 0.0000], [0.4960, 0.4960, 0.4960], [0.1428, 0.1428, 0.1428], [0.3597, 0.3597, 0.3597], [0.8596, 0.8596, 0.8596], [0.6412, 0.6412, 0.6412], [0.0464, 0.4581, 0.7505], [0.2468, 0.9631, 0.5428], [0.4581, 0.7505, 0.0464], [0.5428, 0.2468, 0.9631], [0.7505, 0.0464, 0.4581], [0.9631, 0.5428, 0.2468], [0.0123, 0.3830, 0.1800], [0.0748, 0.2650, 0.9120], [0.0858, 0.9422, 0.7370], [0.1249, 0.5010, 0.3088], [0.1800, 0.0123, 0.3830], [0.2342, 0.4504, 0.5804], [0.2650, 0.9120, 0.0748], [0.3088, 0.1249, 0.5010], [0.3830, 0.1800, 0.0123], [0.4127, 0.7711, 0.5475], [0.4504, 0.5804, 0.2342], [0.4827, 0.7006, 0.8851], [0.5010, 0.3088, 0.1249], [0.5475, 0.4127, 0.7711], [0.5804, 0.2342, 0.4504], [0.6255, 0.8088, 0.9962], [0.7006, 0.8851, 0.4827], [0.7370, 0.0858, 0.9422], [0.7711, 0.5475, 0.4127], [0.8088, 0.9962, 0.6255], [0.8851, 0.4827, 0.7006], [0.9120, 0.0748, 0.2650], [0.9422, 0.7370, 0.0858], [0.9962, 0.6255, 0.8088]], "e_form_raw_mev_per_atom": -2687.2, "dos_at_fermi_per_ev_atom": 0.000, "space_group": "R3"}

***

Record 7
{"formula": "LiTiSnP3O12", "functional": "meta-GGA SCAN", "state": "PBEsol geometry", "lattice_angstrom": [[4.3158, 2.4917, 7.0208], [-4.3158, 2.4917, 7.0208], [0.0000, -4.9835, 7.0208]], "species": ["Li", "Li", "Ti", "Ti", "Sn", "Sn", "P", "P", "P", "P", "P", "P", "O", "O", "O", "O", "O", "O", "O", "O", "O", "O", "O", "O", "O", "O", "O", "O", "O", "O", "O", "O", "O", "O", "O", "O"], "fractional_positions": [[0.0000, 0.0000, 0.0000], [0.5000, 0.5000, 0.5000], [0.3636, 0.3636, 0.3636], [0.8636, 0.8636, 0.8636], [0.1470, 0.1470, 0.1470], [0.6470, 0.6470, 0.6470], [0.0519, 0.4655, 0.7509], [0.2509, 0.9655, 0.5519], [0.4655, 0.7509, 0.0519], [0.5519, 0.2509, 0.9655], [0.7509, 0.0519, 0.4655], [0.9655, 0.5519, 0.2509], [0.0034, 0.6310, 0.8102], [0.0666, 0.2731, 0.9138], [0.0864, 0.9507, 0.7425], [0.1310, 0.5034, 0.3102], [0.1894, 0.9984, 0.3968], [0.2425, 0.4507, 0.5864], [0.2731, 0.9138, 0.0666], [0.3102, 0.1310, 0.5034], [0.3968, 0.1894, 0.9984], [0.4138, 0.7731, 0.5666], [0.4507, 0.5864, 0.2425], [0.4984, 0.6894, 0.8968], [0.5034, 0.3102, 0.1310], [0.5666, 0.4138, 0.7731], [0.5864, 0.2425, 0.4507], [0.6310, 0.8102, 0.0034], [0.6894, 0.8968, 0.4984], [0.7425, 0.0864, 0.9507], [0.7731, 0.5666, 0.4138], [0.8102, 0.0034, 0.6310], [0.8968, 0.4984, 0.6894], [0.9138, 0.0666, 0.2731], [0.9507, 0.7425, 0.0864], [0.9984, 0.3968, 0.1894]], "e_form_raw_mev_per_atom": -2550.2, "dos_at_fermi_per_ev_atom": 0.000, "space_group": "R3c"}